No. 1
PBE-GGA ZrSiPbO2, optimized geometry; size of the total moment = 0.0 μB/f.u.; uncorrected energy = -0.214 hartree per atom; uncorrected formation energy = -0.315 eV/atom
1.0
3.9365 0.0000 0.0000
0.0000 3.9365 0.0000
0.0000 0.0000 5.4411
Zr Si Pb O
1 1 1 2
direct
0.0000 0.0000 0.0000
0.0000 0.0000 0.5000
0.5000 0.5000 0.0000
0.0000 0.5000 0.5000
0.5000 0.0000 0.5000

=====

No. 2
PBE-GGA Sm5Pb2O12, optimized geometry; size of the total moment = 1.2 μB/f.u.; uncorrected energy = -0.267 hartree per atom; uncorrected formation energy = -2.492 eV/atom
1.0
6.4568 -3.1332 0.0000
6.4568 3.1332 0.0000
-2.2987 0.0000 7.2698
Sm Pb O
5 2 12
direct
0.0000 0.0000 0.0000
0.2998 0.2998 0.1373
0.3040 0.3040 0.6639
0.6960 0.6960 0.3361
0.7002 0.7002 0.8627
0.2452 0.7548 0.5000
0.7548 0.2452 0.5000
0.0033 0.0033 0.3021
0.0949 0.5967 0.9287
0.0982 0.5532 0.4060
0.4033 0.9051 0.0713
0.4468 0.9018 0.5940
0.4984 0.4984 0.7026
0.5016 0.5016 0.2974
0.5532 0.0982 0.4060
0.5967 0.0949 0.9287
0.9018 0.4468 0.5940
0.9051 0.4033 0.0713
0.9967 0.9967 0.6979

=====

No. 3
PBE-GGA Sm2PbO, optimized geometry; size of the total moment = 0.0 μB/f.u.; distance to the lowest polymorph of the same formula = 0 meV per atom; uncorrected energy = -0.231 hartree per atom; uncorrected formation energy = -1.763 eV/atom
1.0
4.6333 0.0000 0.0000
0.0000 4.6333 0.0000
0.0000 0.0000 9.1131
Sm Pb O
4 2 2
direct
0.2500 0.2500 0.1679
0.2500 0.7500 0.5000
0.7500 0.2500 0.5000
0.7500 0.7500 0.8321
0.2500 0.2500 0.8013
0.7500 0.7500 0.1987
0.2500 0.2500 0.4247
0.7500 0.7500 0.5753

=====

No. 4
PBE-GGA Sm3Pb2O2, optimized geometry; size of the total moment = 0.0 μB/f.u.; uncorrected energy = -0.232 hartree per atom; uncorrected formation energy = -1.821 eV/atom
1.0
6.2840 -2.0076 0.0000
6.2840 2.0076 0.0000
-3.5943 0.0000 7.1439
Sm Pb O
3 2 2
direct
0.0000 0.0000 0.0000
0.3290 0.3290 0.2074
0.6710 0.6710 0.7926
0.3527 0.3527 0.6388
0.6473 0.6473 0.3612
0.1567 0.1567 0.9199
0.8433 0.8433 0.0801

=====

No. 5
PBE-GGA Sm4Pb2O, optimized geometry; size of the total moment = 0.9 μB/f.u.; distance to the lowest polymorph of the same formula = 8 meV per atom; uncorrected energy = -0.207 hartree per atom; uncorrected formation energy = -1.161 eV/atom
1.0
-2.3578 2.3578 8.6696
2.3578 -2.3578 8.6696
2.3578 2.3578 -8.6696
Sm Pb O
4 2 1
direct
0.0000 0.5000 0.5000
0.1732 0.1732 0.0000
0.5000 0.0000 0.5000
0.8268 0.8268 0.0000
0.3595 0.3595 0.0000
0.6405 0.6405 0.0000
0.0000 0.0000 0.0000

=====

No. 6
PBE-GGA Sm2Pb2O7, optimized geometry; size of the total moment = 0.0 μB/f.u.; distance to the lowest polymorph of the same formula = 0 meV per atom; uncorrected energy = -0.249 hartree per atom; uncorrected formation energy = -2.092 eV/atom
1.0
0.0000 5.4557 5.4557
5.4557 0.0000 5.4557
5.4557 5.4557 0.0000
Sm Pb O
4 4 14
direct
0.0000 0.0000 0.0000
0.0000 0.0000 0.5000
0.0000 0.5000 0.0000
0.5000 0.0000 0.0000
0.0000 0.5000 0.5000
0.5000 0.0000 0.5000
0.5000 0.5000 0.0000
0.5000 0.5000 0.5000
0.1250 0.1250 0.1250
0.1543 0.1543 0.5957
0.1543 0.5957 0.1543
0.1543 0.5957 0.5957
0.4043 0.4043 0.8457
0.4043 0.8457 0.4043
0.4043 0.8457 0.8457
0.5957 0.1543 0.1543
0.5957 0.1543 0.5957
0.5957 0.5957 0.1543
0.8457 0.4043 0.4043
0.8457 0.4043 0.8457
0.8457 0.8457 0.4043
0.8750 0.8750 0.8750

=====

Copy entry 5 word for word.
PBE-GGA Sm4Pb2O, optimized geometry; size of the total moment = 0.9 μB/f.u.; distance to the lowest polymorph of the same formula = 8 meV per atom; uncorrected energy = -0.207 hartree per atom; uncorrected formation energy = -1.161 eV/atom
1.0
-2.3578 2.3578 8.6696
2.3578 -2.3578 8.6696
2.3578 2.3578 -8.6696
Sm Pb O
4 2 1
direct
0.0000 0.5000 0.5000
0.1732 0.1732 0.0000
0.5000 0.0000 0.5000
0.8268 0.8268 0.0000
0.3595 0.3595 0.0000
0.6405 0.6405 0.0000
0.0000 0.0000 0.0000